Material: Mn2Al2Tl
Method: DFT, PBE
State: relaxed

## Properties
ΔE to the lowest computed polymorph: 0.0143 eV/atom
DFT formation energy: 0.85 eV/f.u.

Lattice parameters (Å, degrees): 7.701 7.701 2.894 90.00 90.00 90.00
Sites, in units of the cell vectors:
Al  0.377  0.877  0.000
Al  0.877  0.623  0.000
Al  0.123  0.377  0.000
Al  0.623  0.123  0.000
Mn  0.671  0.829  0.500
Mn  0.829  0.329  0.500
Mn  0.329  0.171  0.500
Mn  0.171  0.671  0.500
Tl  0.500  0.500  0.000
Tl  0.000  0.000  0.000

***

Material: MnAl2Tl2
Method: DFT, PBE
State: relaxed

## Properties
ΔE to the lowest computed polymorph: 0.0000 eV/atom
DFT formation energy: 1.81 eV/f.u.

Lattice parameters (Å, degrees): 6.952 6.952 4.542 90.00 90.00 90.00
Sites, in units of the cell vectors:
Al  0.137  0.363  0.000
Al  0.637  0.137  0.000
Al  0.363  0.863  0.000
Al  0.863  0.637  0.000
Tl  0.823  0.323  0.500
Tl  0.677  0.823  0.500
Tl  0.323  0.177  0.500
Tl  0.177  0.677  0.500
Mn  0.500  0.500  0.000
Mn  0.000  0.000  0.000

***

Material: MnAl2Tl
Method: DFT, PBE
State: relaxed

## Properties
ΔE to the lowest computed polymorph: 0.2282 eV/atom
DFT formation energy: 1.16 eV/f.u.

Lattice parameters (Å, degrees): 4.174 4.174 4.156 90.00 90.00 90.00
Sites, in units of the cell vectors:
Al  0.000  0.000  0.000
Al  0.500  0.500  0.000
Mn  0.500  0.000  0.500
Tl  0.000  0.500  0.500

***

Material: MnAl2Tl
Method: DFT, PBE
State: relaxed

## Properties
ΔE to the lowest computed polymorph: 0.0000 eV/atom
DFT formation energy: 0.25 eV/f.u.

Lattice parameters (Å, degrees): 2.897 2.939 8.549 89.84 90.00 90.00
Sites, in units of the cell vectors:
Mn  0.500  0.250  0.250
Al  0.000  0.749  0.431
Al  0.000  0.751  0.069
Tl  0.500  0.750  0.750

***

Material: MnAl4Tl
Method: DFT, PBE
State: relaxed

## Properties
DFT formation energy: 1.71 eV/f.u.

Lattice parameters (Å, degrees): 5.423 5.423 5.423 60.00 60.00 60.00
Sites, in units of the cell vectors:
Al  0.873  0.376  0.376
Al  0.376  0.873  0.376
Al  0.376  0.376  0.376
Al  0.376  0.376  0.873
Tl  0.000  0.000  0.000
Mn  0.750  0.750  0.750

***

Material: MnAl2Tl
Method: DFT, PBE
State: relaxed

## Properties
ΔE to the lowest computed polymorph: 0.1783 eV/atom
DFT formation energy: 0.96 eV/f.u.

Lattice parameters (Å, degrees): 2.953 2.953 8.444 90.00 90.00 89.97
Sites, in units of the cell vectors:
Tl  0.500  0.500  0.728
Al  0.000  0.000  0.036
Al  0.500  0.500  0.274
Mn  0.000  0.000  0.463

***

Material: MnAl2Tl
Method: DFT, PBE
State: relaxed

## Properties
ΔE to the lowest computed polymorph: 0.2138 eV/atom
DFT formation energy: 1.10 eV/f.u.

Lattice parameters (Å, degrees): 5.199 5.199 5.199 134.28 134.28 66.66
Sites, in units of the cell vectors:
Mn  0.500  0.500  0.000
Al  0.250  0.750  0.500
Al  0.000  0.000  0.000
Tl  0.750  0.250  0.500

***

Material: MnAl2Tl
Method: DFT, PBE
State: relaxed

## Properties
ΔE to the lowest computed polymorph: 0.2176 eV/atom
DFT formation energy: 1.12 eV/f.u.

Lattice parameters (Å, degrees): 4.462 3.171 5.129 89.97 90.00 90.00
Sites, in units of the cell vectors:
Mn  0.000  0.375  0.490
Tl  0.500  0.875  0.709
Al  0.500  0.375  0.216
Al  0.000  0.875  0.085

***

Material: Mn3AlTl
Method: DFT, PBE
State: relaxed

## Properties
ΔE to the lowest computed polymorph: 0.0000 eV/atom
DFT formation energy: 4.09 eV/f.u.

Lattice parameters (Å, degrees): 4.645 4.645 4.645 90.00 90.00 90.00
Sites, in units of the cell vectors:
Mn  0.000  0.000  0.500
Mn  0.000  0.500  0.000
Mn  0.500  0.000  0.000
Tl  0.500  0.500  0.500
Al  0.000  0.000  0.000

***

Material: MnAl2Tl2
Method: DFT, PBE
State: relaxed

## Properties
ΔE to the lowest computed polymorph: 0.6974 eV/atom
DFT formation energy: 5.29 eV/f.u.

Lattice parameters (Å, degrees): 4.023 4.023 7.683 74.82 74.82 90.00
Sites, in units of the cell vectors:
Tl  0.750  0.250  0.500
Tl  0.250  0.750  0.500
Al  0.414  0.414  0.172
Al  0.586  0.586  0.828
Mn  0.000  0.000  0.000

***

Material: Mn3AlTl
Method: DFT, PBE
State: relaxed

## Properties
ΔE to the lowest computed polymorph: 0.5107 eV/atom
DFT formation energy: 6.64 eV/f.u.

Lattice parameters (Å, degrees): 5.080 5.080 5.080 90.00 90.00 90.00
Sites, in units of the cell vectors:
Mn  0.000  0.000  0.500
Mn  0.500  0.000  0.000
Mn  0.000  0.500  0.000
Tl  0.000  0.000  0.000
Al  0.500  0.500  0.500

***

Material: MnAl2Tl
Method: DFT, PBE
State: relaxed

## Properties
ΔE to the lowest computed polymorph: 0.0293 eV/atom
DFT formation energy: 0.37 eV/f.u.

Lattice parameters (Å, degrees): 2.968 2.966 8.348 90.00 90.00 90.00
Sites, in units of the cell vectors:
Tl  0.500  0.500  0.750
Mn  0.500  0.500  0.250
Al  0.000  0.000  0.080
Al  0.000  0.000  0.420

***

Calculated volume: 17.16 21.95 18.10 18.20 18.79 18.41 17.72 18.14 20.04 23.10 26.22 18.37 (A^3/atom)
M_tot: 12.836 7.047 3.437 1.889 3.361 3.041 3.017 2.796 10.508 0.076 12.098 1.539 (μB per cell)